Density functional theory data (GGA-PBE) for a geometry-optimized EuErInRh structure.

Cell: 7.273 7.273 7.273 Å, 90.00 90.00 90.00°
Space group F-43m (No. 216)
Symmetry-distinct sites (fractional):
Eu 0.000 0.000 0.000 [4 per cell]
Er 0.000 0.000 0.500 [4 per cell]
In 0.250 0.250 0.250 [4 per cell]
Rh 0.250 0.250 0.750 [4 per cell]

Summary:
**Calculated volume**: 96.2 Å³/f.u.
**Final energy**: -6.648 eV per atom
**Energy of formation from the pure elements**: -0.4164 eV per atom
**Density of states at the Fermi level**: 1.8642 states/eV per atom